First-principles (GGA+U) data for a geometry-optimized Rb2SrV4O12 structure, as listed in Alexandria.

```
38
Lattice="11.253 0.000 0.000 0.000 11.253 0.000 0.000 0.000 5.580" Properties=species:S:1:pos:R:3 pbc="T T T"
Rb 0.000 0.000 0.000
Rb 0.000 5.626 0.000
Rb 5.626 0.000 0.000
Rb 5.626 5.626 0.000
Sr 2.813 2.813 0.000
Sr 8.440 8.440 0.000
V 0.321 8.440 2.790
V 2.813 5.948 2.790
V 2.813 10.931 2.790
V 5.305 8.440 2.790
V 5.948 2.813 2.790
V 8.440 0.321 2.790
V 8.440 5.305 2.790
V 10.931 2.813 2.790
O 0.629 2.477 1.450
O 0.629 3.149 4.130
O 1.372 6.999 3.178
O 1.372 9.881 2.402
O 2.477 0.629 4.130
O 2.477 4.998 1.450
O 3.149 0.629 1.450
O 3.149 4.998 4.130
O 4.254 6.999 2.402
O 4.254 9.881 3.178
O 4.998 2.477 4.130
O 4.998 3.149 1.450
O 6.255 8.103 4.130
O 6.255 8.776 1.450
O 6.999 1.372 2.402
O 6.999 4.254 3.178
O 8.103 6.255 1.450
O 8.103 10.624 4.130
O 8.776 6.255 4.130
O 8.776 10.624 1.450
O 9.881 1.372 3.178
O 9.881 4.254 2.402
O 10.624 8.103 1.450
O 10.624 8.776 4.130
```

For the size of the total moment, the calculation gives 0.000 μB per atom. The value obtained for the total energy is -266.4 eV for the cell shown.